CrHg2IrW | SCAN | PBEsol geometry

The structure in CIF format:
```
data_CrHg2IrW
_chemical_formula_sum 'Cr1 Hg2 Ir1 W1'
_space_group_name_H-M_alt 'P 4/m m m'
_space_group_IT_number 123
_space_group_name_Hall '-P 4 2'
_cell_length_a 4.842
_cell_length_b 4.842
_cell_length_c 4.350
_cell_angle_alpha 90.00
_cell_angle_beta 90.00
_cell_angle_gamma 90.00
loop_
_atom_site_label
_atom_site_fract_x
_atom_site_fract_y
_atom_site_fract_z
Cr1 0.000 0.000 0.000
Hg1 0.000 0.500 0.000
Ir1 0.000 0.000 0.500
W1 0.500 0.500 0.500
```

Results
Energy of formation (eV per formula unit): 9.339